Record 1
# Rb2GaNiCl6

An optimized crystal structure of Rb2GaNiCl6 (PBE, the Alexandria database).

Output
- magnetization (Bohr magnetons per cell) = 2.0
- uncorrected energy (eV per atom) = -3.39
- D(E_F) (states/eV/cell) = 0.893
- uncorrected formation energy (eV per atom) = -1.2034

Structure (CIF):
```
data_Rb2GaNiCl6
_chemical_formula_sum 'Rb4 Ga2 Ni2 Cl12'
_cell_length_a 7.235
_cell_length_b 7.235
_cell_length_c 9.094
_cell_angle_alpha 90.00
_cell_angle_beta 90.00
_cell_angle_gamma 90.00
_space_group_name_H-M_alt 'I 4/m m m'
_space_group_IT_number 139
_space_group_name_Hall '-I 4 2'
loop_
_atom_site_label
_atom_site_fract_x
_atom_site_fract_y
_atom_site_fract_z
Rb1 0.000 0.500 0.250
Ga1 0.000 0.000 0.000
Ni1 0.000 0.000 0.500
Cl1 0.000 0.000 0.254
Cl2 0.249 0.249 0.500
```

Record 2
# TaCo

An optimized crystal structure of TaCo (PBE, the Alexandria database).

Output
- magnetization (Bohr magnetons per cell) = 0.0
- uncorrected energy (eV per atom) = -9.42
- D(E_F) (states/eV/cell) = 31.962

Structure (CIF):
```
data_TaCo
_chemical_formula_sum 'Ta16 Co16'
_cell_length_a 6.313
_cell_length_b 7.824
_cell_length_c 9.685
_cell_angle_alpha 90.00
_cell_angle_beta 90.00
_cell_angle_gamma 90.00
_space_group_name_H-M_alt 'F d d d'
_space_group_IT_number 70
loop_
_space_group_symop_operation_xyz
'x,y,z'
'-x,-y,-z'
'-x+1/4,-y+1/4,z'
'x+1/4,y+1/4,-z'
'x,-y+1/4,-z+1/4'
'-x,y+1/4,z+1/4'
'-x+1/4,y,-z+1/4'
'x+1/4,-y,z+1/4'
'x,y+1/2,z+1/2'
'-x,-y+1/2,-z+1/2'
'-x+1/4,-y+3/4,z+1/2'
'x+1/4,y+3/4,-z+1/2'
'x,-y+3/4,-z+3/4'
'-x,y+3/4,z+3/4'
'-x+1/4,y+1/2,-z+3/4'
'x+1/4,-y+1/2,z+3/4'
'x+1/2,y,z+1/2'
'-x+1/2,-y,-z+1/2'
'-x+3/4,-y+1/4,z+1/2'
'x+3/4,y+1/4,-z+1/2'
'x+1/2,-y+1/4,-z+3/4'
'-x+1/2,y+1/4,z+3/4'
'-x+3/4,y,-z+3/4'
'x+3/4,-y,z+3/4'
'x+1/2,y+1/2,z'
'-x+1/2,-y+1/2,-z'
'-x+3/4,-y+3/4,z'
'x+3/4,y+3/4,-z'
'x+1/2,-y+3/4,-z+1/4'
'-x+1/2,y+3/4,z+1/4'
'-x+3/4,y+1/2,-z+1/4'
'x+3/4,-y+1/2,z+1/4'
loop_
_atom_site_label
_atom_site_fract_x
_atom_site_fract_y
_atom_site_fract_z
Ta1 0.125 0.329 0.125
Co1 0.068 0.375 0.875
```

Record 3
# CaMnSeN2

An optimized crystal structure of CaMnSeN2 (PBE, the Alexandria database).

Output
- magnetization (Bohr magnetons per cell) = 0.0
- uncorrected energy (eV per atom) = -6.36
- D(E_F) (states/eV/cell) = 2.998
- uncorrected formation energy (eV per atom) = -0.0970

Structure (CIF):
```
data_CaMnSeN2
_chemical_formula_sum 'Ca1 Mn1 Se1 N2'
_cell_length_a 3.770
_cell_length_b 3.770
_cell_length_c 5.242
_cell_angle_alpha 90.00
_cell_angle_beta 90.00
_cell_angle_gamma 90.00
_space_group_name_H-M_alt 'P 4/m m m'
_space_group_IT_number 123
_space_group_name_Hall '-P 4 2'
loop_
_atom_site_label
_atom_site_fract_x
_atom_site_fract_y
_atom_site_fract_z
Ca1 0.000 0.000 0.000
Mn1 0.500 0.500 0.500
Se1 0.500 0.500 0.000
N1 0.000 0.500 0.500
```

Record 4
# Cu6PtAu4

An optimized crystal structure of Cu6PtAu4 (PBE, the Alexandria database).

Output
- magnetization (Bohr magnetons per cell) = 0.0
- uncorrected energy (eV per atom) = -3.96
- D(E_F) (states/eV/cell) = 18.998

Structure (CIF):
```
data_Cu6PtAu4
_chemical_formula_sum 'Cu24 Pt4 Au16'
_cell_length_a 4.510
_cell_length_b 7.339
_cell_length_c 19.921
_cell_angle_alpha 90.00
_cell_angle_beta 90.00
_cell_angle_gamma 90.00
_space_group_name_H-M_alt 'C m c m'
_space_group_IT_number 63
_space_group_name_Hall '-C 2c 2'
loop_
_atom_site_label
_atom_site_fract_x
_atom_site_fract_y
_atom_site_fract_z
Cu1 0.000 0.000 0.000
Cu2 0.000 0.108 0.250
Cu3 0.000 0.317 0.596
Cu4 0.000 0.414 0.188
Pt1 0.000 0.237 0.750
Au1 0.000 0.021 0.129
Au2 0.000 0.344 0.047
```

Record 5
# YMgSb2I

An optimized crystal structure of YMgSb2I (PBE, the Alexandria database).

Output
- magnetization (Bohr magnetons per cell) = 0.0
- uncorrected energy (eV per atom) = -3.52
- D(E_F) (states/eV/cell) = 6.368
- uncorrected formation energy (eV per atom) = 0.0540

Structure (CIF):
```
data_YMgSb2I
_chemical_formula_sum 'Y1 Mg1 Sb2 I1'
_cell_length_a 5.897
_cell_length_b 5.897
_cell_length_c 5.852
_cell_angle_alpha 90.00
_cell_angle_beta 90.00
_cell_angle_gamma 90.00
_space_group_name_H-M_alt 'P 4/m m m'
_space_group_IT_number 123
_space_group_name_Hall '-P 4 2'
loop_
_atom_site_label
_atom_site_fract_x
_atom_site_fract_y
_atom_site_fract_z
Y1 0.000 0.000 0.000
Mg1 0.500 0.500 0.500
Sb1 0.000 0.500 0.000
I1 0.000 0.000 0.500
```

Record 6
# LaPbSe2

An optimized crystal structure of LaPbSe2 (PBE, the Alexandria database).

Output
- magnetization (Bohr magnetons per cell) = 0.0
- uncorrected energy (eV per atom) = -5.03
- D(E_F) (states/eV/cell) = 2.467
- uncorrected formation energy (eV per atom) = -1.1314

Structure (CIF):
```
data_LaPbSe2
_chemical_formula_sum 'La1 Pb1 Se2'
_cell_length_a 3.828
_cell_length_b 3.828
_cell_length_c 7.207
_cell_angle_alpha 90.00
_cell_angle_beta 90.00
_cell_angle_gamma 90.00
_space_group_name_H-M_alt 'P 4/m m m'
_space_group_IT_number 123
_space_group_name_Hall '-P 4 2'
loop_
_atom_site_label
_atom_site_fract_x
_atom_site_fract_y
_atom_site_fract_z
La1 0.000 0.000 0.000
Pb1 0.000 0.000 0.500
Se1 0.500 0.500 0.234
```

Record 7
# SmYHgTe

An optimized crystal structure of SmYHgTe (PBE, the Alexandria database).

Output
- magnetization (Bohr magnetons per cell) = 0.0
- uncorrected energy (eV per atom) = -4.55
- D(E_F) (states/eV/cell) = 6.483
- uncorrected formation energy (eV per atom) = -0.8950

Structure (CIF):
```
data_SmYHgTe
_chemical_formula_sum 'Sm3 Y3 Hg3 Te3'
_cell_length_a 4.2100
_cell_length_b 4.2100
_cell_length_c 23.3539
_cell_angle_alpha 90.00
_cell_angle_beta 90.00
_cell_angle_gamma 120.00
_space_group_name_H-M_alt 'R 3 m'
_space_group_IT_number 160
_space_group_name_Hall 'R 3 -2"'
loop_
_atom_site_label
_atom_site_fract_x
_atom_site_fract_y
_atom_site_fract_z
Sm1 0.0000 0.0000 0.0000
Y1 0.0000 0.0000 0.4999
Hg1 0.0000 0.0000 0.2486
Te1 0.0000 0.0000 0.7520
```

Record 8
# TlIn2I6

An optimized crystal structure of TlIn2I6 (PBE, the Alexandria database).

Output
- magnetization (Bohr magnetons per cell) = 0.0
- uncorrected energy (eV per atom) = -2.38
- D(E_F) (states/eV/cell) = 13.086
- uncorrected formation energy (eV per atom) = -0.4754

Structure (CIF):
```
data_TlIn2I6
_chemical_formula_sum 'Tl4 In8 I24'
_cell_length_a 16.633
_cell_length_b 14.438
_cell_length_c 9.305
_cell_angle_alpha 90.00
_cell_angle_beta 112.32
_cell_angle_gamma 90.00
_space_group_name_H-M_alt 'C 1 2/c 1'
_space_group_IT_number 15
loop_
_space_group_symop_operation_xyz
'x,y,z'
'-x,-y,-z'
'-x,y,-z+1/2'
'x,-y,z+1/2'
'x+1/2,y+1/2,z'
'-x+1/2,-y+1/2,-z'
'-x+1/2,y+1/2,-z+1/2'
'x+1/2,-y+1/2,z+1/2'
loop_
_atom_site_label
_atom_site_fract_x
_atom_site_fract_y
_atom_site_fract_z
Tl1 0.000 0.117 0.250
In1 0.215 0.404 0.221
I1 0.103 0.083 0.662
I2 0.144 0.494 0.429
I3 0.172 0.216 0.176
```

Which of these has the highest uncorrected energy?
TlIn2I6